The following is a DFT calculation (PBE-GGA) of crystalline Ac2SnCl2 at its relaxed geometry.

```
Ac2SnCl2
1.0
4.589 0.000 1.069
2.170 4.043 1.069
-0.047 -0.028 10.582
Cl Ac Sn
2 2 1
Cartesian
5.221 3.123 8.738
1.491 0.892 3.983
4.080 2.441 3.252
2.631 1.574 9.469
0.000 0.000 0.000
```

Summary:
raw formation energy	-1.582	eV/atom
ΔE to the lowest computed polymorph	0.19	eV per formula unit
DOS at the Fermi energy	0.0216	states/eV per atom


The following is a DFT calculation (PBE-GGA) of crystalline Ac2SnCl at its relaxed geometry.

```
Ac2SnCl
1.0
5.657 0.000 0.000
2.828 4.899 0.000
2.828 1.633 4.619
Sn Ac Cl
1 2 1
Cartesian
5.657 3.266 2.309
2.828 1.633 1.155
8.485 4.899 3.464
0.000 0.000 0.000
```

Summary:
raw formation energy	-1.075	eV/atom
ΔE to the lowest computed polymorph	0.00	eV per formula unit
DOS at the Fermi energy	0.5818	states/eV per atom


The following is a DFT calculation (PBE-GGA) of crystalline Ac4Sn2Cl at its relaxed geometry.

```
Ac4Sn2Cl
1.0
5.528 0.000 0.000
0.000 5.528 0.000
-2.764 -2.764 8.794
Ac Cl Sn
4 1 2
Cartesian
2.764 0.000 0.000
0.000 2.764 0.000
2.764 2.764 5.651
0.000 0.000 3.143
0.000 0.000 0.000
0.000 0.000 6.487
2.764 2.764 2.307
```

Summary:
raw formation energy	-0.639	eV/atom
DOS at the Fermi energy	0.9623	states/eV per atom


The following is a DFT calculation (PBE-GGA) of crystalline AcTlSnCl6 at its relaxed geometry.

```
AcTlSnCl6
1.0
6.992 0.000 0.000
0.000 6.992 0.000
0.000 0.000 13.587
Cl Ac Tl Sn
12 2 2 2
Cartesian
4.954 4.954 9.266
5.538 1.455 11.110
1.253 5.740 6.821
1.458 5.535 2.472
2.042 2.042 4.316
2.243 2.243 0.027
5.535 1.458 2.472
4.951 4.951 4.316
2.038 2.038 9.266
1.455 5.538 11.110
5.740 1.253 6.821
4.749 4.749 0.027
0.000 0.000 4.510
3.496 3.496 11.303
3.496 3.496 6.780
0.000 0.000 13.574
0.000 0.000 9.046
3.496 3.496 2.253
```

Summary:
raw formation energy	-1.626	eV/atom
DOS at the Fermi energy	0.0000	states/eV per atom


The following is a DFT calculation (PBE-GGA) of crystalline Sr2AcCl at its relaxed geometry.

```
Sr2AcCl
1.0
3.882 0.000 0.000
0.000 3.882 0.000
0.000 0.000 10.581
Sr Cl Ac
2 1 1
Cartesian
0.000 0.000 2.221
0.000 0.000 8.359
1.941 1.941 0.000
1.941 1.941 5.290
```

Summary:
raw formation energy	-0.715	eV/atom
ΔE to the lowest computed polymorph	0.51	eV per formula unit
DOS at the Fermi energy	0.9463	states/eV per atom


The following is a DFT calculation (PBE-GGA) of crystalline Sr2AcCl at its relaxed geometry.

```
Sr2AcCl
1.0
-0.010 4.091 -0.011
-3.533 2.038 0.319
-0.172 2.074 11.074
Sr Cl Ac
2 1 1
Cartesian
-2.735 6.154 9.090
-0.979 2.049 2.292
0.000 0.000 0.000
-1.857 4.102 5.691
```

Summary:
raw formation energy	-0.844	eV/atom
ΔE to the lowest computed polymorph	0.00	eV per formula unit
DOS at the Fermi energy	0.6718	states/eV per atom


The following is a DFT calculation (PBE-GGA) of crystalline SrAcCl at its relaxed geometry.

```
SrAcCl
1.0
3.999 0.000 0.000
-2.000 3.464 0.000
0.000 0.000 15.929
Cl Sr Ac
2 2 2
Cartesian
2.000 1.155 9.530
2.000 1.155 4.777
0.000 2.309 2.465
0.000 2.309 11.841
0.000 2.309 7.153
2.000 1.155 15.118
```

Summary:
raw formation energy	-0.991	eV/atom
DOS at the Fermi energy	0.4642	states/eV per atom


The following is a DFT calculation (PBE-GGA) of crystalline Sr2AcCl8 at its relaxed geometry.

```
Sr2AcCl8
1.0
4.795 0.000 -1.459
-1.165 6.741 -3.828
0.036 0.402 8.724
Cl Sr Ac
8 2 1
Cartesian
-0.386 2.233 -1.268
1.522 0.989 5.000
4.051 4.910 4.704
0.431 0.880 1.418
2.143 6.155 -1.564
0.981 4.115 3.224
2.684 3.028 0.212
3.234 6.263 2.018
3.555 2.360 3.073
0.110 4.783 0.363
2.397 0.000 -0.730
```

Summary:
raw formation energy	-2.100	eV/atom
DOS at the Fermi energy	0.0341	states/eV per atom


The following is a DFT calculation (PBE-GGA) of crystalline SrAcTe2Cl at its relaxed geometry.

```
SrAcTe2Cl
1.0
-1.481 -4.405 0.850
-0.339 -0.783 -4.646
15.922 -5.402 -0.250
Te Sr Cl Ac
4 2 2 2
Cartesian
4.139 -3.858 0.348
1.253 -0.874 -2.346
10.872 -4.138 -2.497
13.759 -7.122 0.197
8.924 -5.482 0.273
6.088 -2.515 -2.422
7.961 -2.701 -0.125
7.051 -5.295 -2.023
1.223 -2.869 0.394
13.789 -5.128 -2.543
```

Summary:
raw formation energy	-1.766	eV/atom
DOS at the Fermi energy	0.2979	states/eV per atom


The following is a DFT calculation (PBE-GGA) of crystalline Ac2TbCl at its relaxed geometry.

```
Ac2TbCl
1.0
-0.235 -0.140 -3.887
-0.451 -3.425 -1.803
-11.152 -0.078 -1.275
Ac Tb Cl
2 1 1
Cartesian
-2.675 -0.940 -1.758
-9.164 -2.703 -5.208
-5.919 -1.821 -3.483
0.000 0.000 0.000
```

Summary:
raw formation energy	-0.625	eV/atom
DOS at the Fermi energy	0.8686	states/eV per atom


The following is a DFT calculation (PBE-GGA) of crystalline AcTb2Cl8 at its relaxed geometry.

```
AcTb2Cl8
1.0
-1.715 2.481 4.358
-1.492 -7.074 2.056
7.327 1.558 0.612
Cl Tb Ac
8 2 1
Cartesian
2.128 0.255 0.652
1.006 -0.359 4.000
4.339 0.712 3.139
1.992 -3.290 6.373
4.281 -1.050 5.999
-0.218 -3.747 3.886
3.114 -2.676 3.025
-0.161 -1.985 1.026
1.313 -4.328 1.596
4.522 -1.188 1.071
-0.857 1.241 2.179
```

Summary:
raw formation energy	-2.121	eV/atom
DOS at the Fermi energy	0.3133	states/eV per atom


The following is a DFT calculation (PBE-GGA) of crystalline AcTbCl6 at its relaxed geometry.

```
AcTbCl6
1.0
6.969 0.008 0.009
3.475 6.041 0.013
3.472 2.007 6.446
Ac Cl Tb
1 6 1
Cartesian
6.958 4.028 3.234
5.653 6.002 1.557
8.008 6.145 4.917
8.263 2.054 4.912
9.321 4.177 1.559
5.909 1.910 1.552
4.595 3.879 4.910
0.000 0.000 0.000
```

Summary:
raw formation energy	-2.323	eV/atom
DOS at the Fermi energy	0.0000	states/eV per atom